Record 1
Compound: EuDy2O
Source: Alexandria
Functional: PBE
Structure: relaxed

Summary:
Energy above the most stable polymorph in this dataset: 0.0 meV/atom
Formation energy without anion corrections: -1208 meV per atom
Raw total energy: -29.27 eV per formula unit

Lattice parameters (Å, degrees): 3.525 3.525 28.218 90.00 90.00 120.00
Atoms (fractional coordinates):
1 Eu 0.000 0.000 0.000
2 Eu 0.333 0.667 0.667
3 Eu 0.667 0.333 0.333
4 Dy 0.000 0.000 0.121
5 Dy 0.000 0.000 0.879
6 Dy 0.333 0.667 0.546
7 Dy 0.333 0.667 0.787
8 Dy 0.667 0.333 0.213
9 Dy 0.667 0.333 0.454
10 O 0.000 0.000 0.500
11 O 0.333 0.667 0.167
12 O 0.667 0.333 0.833

Record 2
Compound: LiInOs2I
Source: Alexandria
Functional: PBE
Structure: relaxed

Summary:
Formation energy without anion corrections: 2010 meV per atom
Raw total energy: -18.61 eV per formula unit

Lattice parameters (Å, degrees): 4.875 4.875 6.026 90.00 90.00 90.00
Atoms (fractional coordinates):
1 Li 0.000 0.000 0.000
2 In 0.500 0.500 0.000
3 Os 0.000 0.500 0.500
4 Os 0.500 0.000 0.500
5 I 0.500 0.500 0.500

Record 3
Compound: MnCd2Se2
Source: Alexandria
Functional: PBE
Structure: relaxed

Summary:
Energy above the most stable polymorph in this dataset: 35.9 meV/atom
Formation energy without anion corrections: 153 meV per atom
Raw total energy: -17.20 eV per formula unit

Lattice parameters (Å, degrees): 3.886 3.886 15.579 90.00 90.00 90.00
Atoms (fractional coordinates):
1 Mn 0.000 0.000 0.000
2 Mn 0.500 0.500 0.500
3 Cd 0.000 0.500 0.250
4 Cd 0.000 0.500 0.750
5 Cd 0.500 0.000 0.250
6 Cd 0.500 0.000 0.750
7 Se 0.000 0.000 0.414
8 Se 0.000 0.000 0.586
9 Se 0.500 0.500 0.086
10 Se 0.500 0.500 0.914

Record 4
Compound: Li2TmTeO4
Source: Alexandria
Functional: PBE
Structure: relaxed

Summary:
Formation energy without anion corrections: -1912 meV per atom
Raw total energy: -46.57 eV per formula unit

Lattice parameters (Å, degrees): 4.649 4.649 9.301 90.00 90.00 90.00
Atoms (fractional coordinates):
1 Li 0.000 0.000 0.000
2 Li 0.000 0.500 0.250
3 Li 0.500 0.000 0.750
4 Li 0.500 0.500 0.500
5 Tm 0.000 0.500 0.750
6 Tm 0.500 0.000 0.250
7 Te 0.000 0.000 0.500
8 Te 0.500 0.500 0.000
9 O 0.000 0.000 0.255
10 O 0.000 0.000 0.745
11 O 0.000 0.500 0.510
12 O 0.000 0.500 0.990
13 O 0.500 0.000 0.010
14 O 0.500 0.000 0.490
15 O 0.500 0.500 0.245
16 O 0.500 0.500 0.755

Record 5
Compound: ZrTeP2
Source: Alexandria
Functional: PBE
Structure: relaxed

Summary:
Energy above the most stable polymorph in this dataset: 496.4 meV/atom
Formation energy without anion corrections: -90 meV per atom
Raw total energy: -22.87 eV per formula unit

Lattice parameters (Å, degrees): 5.835 8.009 4.105 90.00 118.24 90.00
Atoms (fractional coordinates):
1 Zr 0.000 0.000 0.000
2 Zr 0.500 0.500 0.000
3 Te 0.000 0.500 0.000
4 Te 0.500 0.000 0.000
5 P 0.250 0.250 0.500
6 P 0.250 0.750 0.500
7 P 0.750 0.250 0.500
8 P 0.750 0.750 0.500

Record 6
Compound: Tl3ZnI
Source: Alexandria
Functional: PBE
Structure: relaxed

Summary:
Energy above the most stable polymorph in this dataset: 0.0 meV/atom
Formation energy without anion corrections: -51 meV per atom
Raw total energy: -10.18 eV per formula unit

Lattice parameters (Å, degrees): 5.545 5.545 5.545 90.00 90.00 90.00
Atoms (fractional coordinates):
1 Tl 0.000 0.000 0.500
2 Tl 0.000 0.500 0.000
3 Tl 0.500 0.000 0.000
4 Zn 0.000 0.000 0.000
5 I 0.500 0.500 0.500

Record 7
Compound: La8Ni3PI4
Source: Alexandria
Functional: PBE
Structure: relaxed

Summary:
Formation energy without anion corrections: -875 meV per atom
Raw total energy: -82.38 eV per formula unit

Lattice parameters (Å, degrees): 8.510 8.510 9.433 116.89 116.89 59.66
Atoms (fractional coordinates):
1 La 0.227 0.735 0.693
2 La 0.229 0.229 0.684
3 La 0.265 0.773 0.307
4 La 0.267 0.267 0.308
5 La 0.733 0.733 0.692
6 La 0.735 0.227 0.693
7 La 0.771 0.771 0.316
8 La 0.773 0.265 0.307
9 Ni 0.000 0.000 0.500
10 Ni 0.000 0.500 0.500
11 Ni 0.500 0.000 0.500
12 P 0.500 0.500 0.500
13 I 0.000 0.000 0.000
14 I 0.000 0.500 0.000
15 I 0.500 0.000 0.000
16 I 0.500 0.500 0.000

Record 8
Compound: Hf2Zr2Al4Au
Source: Alexandria
Functional: PBE
Structure: relaxed

Summary:
E_form: -109.1 meV/atom
Raw total energy: -56.23 eV per formula unit

Lattice parameters (Å, degrees): 6.489 6.489 6.489 123.24 123.24 84.47
Atoms (fractional coordinates):
1 Hf 0.250 0.750 0.500
2 Hf 0.750 0.250 0.500
3 Zr 0.224 0.224 0.000
4 Zr 0.776 0.776 0.000
5 Al 0.218 0.218 0.436
6 Al 0.218 0.782 0.000
7 Al 0.782 0.218 0.000
8 Al 0.782 0.782 0.564
9 Au 0.500 0.500 0.000

Record 9
Compound: NaAsClF6
Source: Alexandria
Functional: PBE
Structure: relaxed

Summary:
Formation energy without anion corrections: -1924 meV per atom
Raw total energy: -36.36 eV per formula unit

Lattice parameters (Å, degrees): 5.697 5.697 6.102 95.12 95.12 115.16
Atoms (fractional coordinates):
1 Na 0.000 0.000 0.000
2 As 0.353 0.647 0.000
3 Cl 0.739 0.261 0.500
4 F 0.073 0.641 0.835
5 F 0.149 0.440 0.174
6 F 0.320 0.361 0.834
7 F 0.359 0.927 0.165
8 F 0.560 0.851 0.826
9 F 0.639 0.680 0.166

Record 10
Compound: Ga2OsRh
Source: Alexandria
Functional: PBE
Structure: relaxed

Summary:
E_form: -317.3 meV/atom
Raw total energy: -25.90 eV per formula unit

Lattice parameters (Å, degrees): 4.279 4.279 3.066 90.00 90.00 90.00
Atoms (fractional coordinates):
1 Ga 0.000 0.500 0.000
2 Ga 0.500 0.000 0.000
3 Os 0.000 0.000 0.500
4 Rh 0.500 0.500 0.500

Record 11
Compound: ZrPdS2
Source: Alexandria
Functional: PBE
Structure: relaxed

Summary:
Energy above the most stable polymorph in this dataset: 206.2 meV/atom
Formation energy without anion corrections: -833 meV per atom
Raw total energy: -25.33 eV per formula unit

Lattice parameters (Å, degrees): 6.396 6.396 6.396 90.00 90.00 90.00
Atoms (fractional coordinates):
1 Zr 0.000 0.000 0.000
2 Zr 0.000 0.500 0.500
3 Zr 0.500 0.000 0.500
4 Zr 0.500 0.500 0.000
5 Pd 0.000 0.000 0.500
6 Pd 0.000 0.500 0.000
7 Pd 0.500 0.000 0.000
8 Pd 0.500 0.500 0.500
9 S 0.250 0.250 0.250
10 S 0.250 0.250 0.750
11 S 0.250 0.750 0.250
12 S 0.250 0.750 0.750
13 S 0.750 0.250 0.250
14 S 0.750 0.250 0.750
15 S 0.750 0.750 0.250
16 S 0.750 0.750 0.750

Record 12
Compound: Er2TmPuP4
Source: Alexandria
Functional: PBE
Structure: relaxed

Summary:
E_form: -1485.4 meV/atom
Raw total energy: -61.45 eV per formula unit

Lattice parameters (Å, degrees): 6.860 3.976 6.862 90.00 109.50 90.00
Atoms (fractional coordinates):
1 Er 0.000 0.000 0.000
2 Er 0.500 0.500 0.000
3 Tm 0.000 0.500 0.500
4 Pu 0.500 0.000 0.500
5 P 0.250 0.000 0.748
6 P 0.251 0.500 0.252
7 P 0.749 0.500 0.748
8 P 0.750 0.000 0.252